# 1
# Nd2Cu2O5

A geometry-optimized Nd2Cu2O5 structure (GGA-PBEsol, the Alexandria database).

Lattice parameters (Å, degrees): 3.751 5.582 9.988 90.00 90.00 90.00
Fractional coordinates of all 18 atoms:
Nd: 0.500 0.151 0.851
Nd: 0.500 0.849 0.149
Nd: 0.500 0.349 0.351
Nd: 0.500 0.651 0.649
Cu: 0.000 0.314 0.094
Cu: 0.000 0.186 0.594
Cu: 0.000 0.814 0.406
Cu: 0.000 0.686 0.906
O: 0.500 0.219 0.600
O: 0.000 0.000 0.000
O: 0.000 0.588 0.212
O: 0.500 0.719 0.900
O: 0.000 0.412 0.788
O: 0.000 0.912 0.712
O: 0.500 0.781 0.400
O: 0.000 0.500 0.500
O: 0.500 0.281 0.100
O: 0.000 0.088 0.288

The space group is Pbam (55). The calculation puts the final energy at -7.1526 eV/atom. The value obtained for the energy relative to the elements, uncorrected is -2.1251 eV per atom. The size of the total moment is 0.0 Bohr magnetons per cell. The value obtained for the mass density is 7.871 g/cm3.

***

# 2
# LaYCd2

A geometry-optimized LaYCd2 structure (GGA-PBEsol, the Alexandria database).

Lattice parameters (Å, degrees): 3.632 5.375 5.457 90.00 89.99 90.00
Fractional coordinates of all 4 atoms:
Y: 0.375 0.500 0.146
La: 0.375 0.000 0.599
Cd: 0.875 0.500 0.662
Cd: 0.875 0.000 0.092

The space group is Pmm2 (25). The calculation puts the final energy at -3.9633 eV/atom. Its energy of formation from the pure elements is -0.323 eV per atom. The size of the total moment is 0.0 Bohr magnetons per cell. The value obtained for the mass density is 7.057 g/cm3.

***

# 3
# Zr2TaGa2

A geometry-optimized Zr2TaGa2 structure (GGA-PBEsol, the Alexandria database).

Lattice parameters (Å, degrees): 3.661 7.049 7.049 90.00 90.00 90.00
Fractional coordinates of all 10 atoms:
Ga: 0.000 0.625 0.125
Ga: 0.000 0.375 0.875
Ga: 0.000 0.125 0.375
Ga: 0.000 0.875 0.625
Zr: 0.500 0.177 0.677
Zr: 0.500 0.323 0.177
Zr: 0.500 0.823 0.323
Zr: 0.500 0.677 0.823
Ta: 0.000 0.500 0.500
Ta: 0.000 0.000 0.000

The space group is P4/mbm (127). The calculation puts the final energy at -7.9817 eV/atom. Its energy of formation from the pure elements is -0.500 eV per atom. The size of the total moment is 0.0 Bohr magnetons per cell. The value obtained for the mass density is 9.180 g/cm3.

***

# 4
# RuPt4

A geometry-optimized RuPt4 structure (GGA-PBEsol, the Alexandria database).

Lattice parameters (Å, degrees): 3.878 4.754 4.754 80.42 65.93 65.93
Fractional coordinates of all 5 atoms:
Pt: 0.203 0.195 0.399
Pt: 0.602 0.601 0.195
Pt: 0.797 0.805 0.601
Pt: 0.398 0.399 0.805
Ru: 0.000 0.000 0.000

The space group is I4/m (87). The calculation puts the final energy at -7.5995 eV/atom. Its energy of formation from the pure elements is 0.006 eV per atom. The size of the total moment is 0.0 Bohr magnetons per cell. The value obtained for the mass density is 20.032 g/cm3.

***

# 5
# KCuAg2

A geometry-optimized KCuAg2 structure (GGA-PBEsol, the Alexandria database).

Lattice parameters (Å, degrees): 3.345 3.345 7.592 90.00 90.00 90.00
Fractional coordinates of all 4 atoms:
Ag: 0.500 0.500 0.276
Ag: 0.000 0.000 0.071
K: 0.500 0.500 0.737
Cu: 0.000 0.000 0.417

The space group is P4mm (99). The calculation puts the final energy at -2.7139 eV/atom. Its energy of formation from the pure elements is 0.309 eV per atom. The size of the total moment is 0.0 Bohr magnetons per cell. The value obtained for the mass density is 6.223 g/cm3.

***

# 6
# BeRe2Mo

A geometry-optimized BeRe2Mo structure (GGA-PBEsol, the Alexandria database).

Lattice parameters (Å, degrees): 3.062 3.062 5.689 90.00 90.00 90.00
Fractional coordinates of all 4 atoms:
Mo: 0.500 0.500 0.727
Re: 0.000 0.000 0.000
Re: 0.500 0.500 0.283
Be: 0.000 0.000 0.490

The space group is P4mm (99). The calculation puts the final energy at -10.5047 eV/atom. Its energy of formation from the pure elements is 0.103 eV per atom. The size of the total moment is 0.0 Bohr magnetons per cell. The value obtained for the mass density is 14.856 g/cm3.

***

# 7
# Li4Nb2Fe3Co3O16

A geometry-optimized Li4Nb2Fe3Co3O16 structure (GGA-PBEsol, the Alexandria database).

Lattice parameters (Å, degrees): 5.717 5.717 9.325 89.82 89.82 59.43
Fractional coordinates of all 28 atoms:
O: 0.327 0.838 0.102
O: 0.167 0.671 0.600
O: 0.002 0.002 0.307
O: 0.514 0.514 0.838
O: 0.671 0.167 0.600
O: 0.485 0.035 0.332
O: 0.670 0.670 0.609
O: 0.837 0.837 0.100
O: 0.332 0.332 0.113
O: 0.518 0.962 0.832
O: 0.962 0.518 0.832
O: 0.838 0.327 0.102
O: 0.035 0.485 0.332
O: 0.481 0.481 0.333
O: 0.162 0.162 0.602
O: 0.001 0.001 0.805
Li: 0.665 0.665 0.395
Li: 0.999 0.999 0.496
Li: 0.331 0.331 0.899
Li: 0.000 0.000 0.995
Co: 0.663 0.169 0.215
Co: 0.833 0.833 0.714
Co: 0.169 0.663 0.215
Nb: 0.332 0.332 0.494
Nb: 0.669 0.669 0.995
Fe: 0.822 0.345 0.717
Fe: 0.170 0.170 0.217
Fe: 0.345 0.822 0.717

The space group is Cm (8). The calculation puts the final energy at -7.5449 eV/atom. The value obtained for the energy relative to the elements, uncorrected is -1.7020 eV per atom. The size of the total moment is 3.0 Bohr magnetons per cell. The value obtained for the mass density is 5.150 g/cm3.

***

# 8
# CrRuW

A geometry-optimized CrRuW structure (GGA-PBEsol, the Alexandria database).

Lattice parameters (Å, degrees): 4.018 4.018 4.018 60.00 60.00 60.00
Fractional coordinates of all 3 atoms:
Cr: 0.250 0.250 0.250
Ru: 0.000 0.000 0.000
W: 0.500 0.500 0.500

The space group is F-43m (216). The calculation puts the final energy at -10.6341 eV/atom. Its energy of formation from the pure elements is 0.773 eV per atom. The size of the total moment is 0.0 Bohr magnetons per cell. The value obtained for the mass density is 12.196 g/cm3.

***

# 9
# Al2AgPt2

A geometry-optimized Al2AgPt2 structure (GGA-PBEsol, the Alexandria database).

Lattice parameters (Å, degrees): 2.799 7.372 7.372 90.00 90.00 90.00
Fractional coordinates of all 10 atoms:
Al: 0.500 0.345 0.155
Al: 0.500 0.155 0.655
Al: 0.500 0.655 0.845
Al: 0.500 0.845 0.345
Pt: 0.000 0.358 0.858
Pt: 0.000 0.642 0.142
Pt: 0.000 0.142 0.358
Pt: 0.000 0.858 0.642
Ag: 0.000 0.500 0.500
Ag: 0.000 0.000 0.000

The space group is P4/mbm (127). The calculation puts the final energy at -5.8705 eV/atom. Its energy of formation from the pure elements is -0.786 eV per atom. The size of the total moment is 0.0 Bohr magnetons per cell. The value obtained for the mass density is 12.053 g/cm3.

***

# 10
# CaY2Mg

A geometry-optimized CaY2Mg structure (GGA-PBEsol, the Alexandria database).

Lattice parameters (Å, degrees): 3.576 3.576 9.588 90.00 90.00 90.00
Fractional coordinates of all 4 atoms:
Ca: 0.000 0.000 0.520
Y: 0.500 0.500 0.231
Y: 0.000 0.000 0.985
Mg: 0.500 0.500 0.763

The space group is P4mm (99). The calculation puts the final energy at -4.3802 eV/atom. Its energy of formation from the pure elements is -0.007 eV per atom. The size of the total moment is 0.0 Bohr magnetons per cell. The value obtained for the mass density is 3.280 g/cm3.

***

# 11
# CdAuSe3

A geometry-optimized CdAuSe3 structure (GGA-PBEsol, the Alexandria database).

Lattice parameters (Å, degrees): 5.016 5.016 5.016 90.00 90.00 90.00
Fractional coordinates of all 5 atoms:
Se: 0.000 0.000 0.500
Se: 0.000 0.500 0.000
Se: 0.500 0.000 0.000
Au: 0.000 0.000 0.000
Cd: 0.500 0.500 0.500

The space group is Pm-3m (221). The calculation puts the final energy at -2.8480 eV/atom. The value obtained for the energy relative to the elements, uncorrected is 0.4864 eV per atom. The size of the total moment is 0.0 Bohr magnetons per cell. The value obtained for the mass density is 7.189 g/cm3.

***

# 12
# Rb2InGaCl6

A geometry-optimized Rb2InGaCl6 structure (GGA-PBEsol, the Alexandria database).

Lattice parameters (Å, degrees): 7.460 7.460 7.460 60.00 60.00 60.00
Fractional coordinates of all 10 atoms:
Cl: 0.761 0.239 0.239
Cl: 0.239 0.761 0.239
Cl: 0.239 0.239 0.761
Cl: 0.761 0.761 0.239
Cl: 0.239 0.761 0.761
Cl: 0.761 0.239 0.761
In: 0.000 0.000 0.000
Rb: 0.250 0.250 0.250
Rb: 0.750 0.750 0.750
Ga: 0.500 0.500 0.500

The space group is Fm-3m (225). The calculation puts the final energy at -3.4245 eV/atom. The value obtained for the energy relative to the elements, uncorrected is -1.3825 eV per atom. The size of the total moment is 0.0 Bohr magnetons per cell. The value obtained for the mass density is 3.213 g/cm3.